(w)
Density functional theory data (PBE) for a relaxed In12Ga6Hg crystal.

Lattice parameters (Å, degrees): 7.9489 7.9489 7.9489 99.51 99.51 99.51
Closest atoms and distances in Å follow each position.
Fractional positions:
In 0.3376 0.8370 0.9409  3 Ga 3.04-3.17, 5 In 3.23-3.33, 1 Hg 3.23
In 0.6352 0.9208 0.6686  3 Ga 3.01-3.16, 4 In 3.28-3.33
In 0.9409 0.3376 0.8370  3 Ga 3.04-3.17, 5 In 3.23-3.33, 1 Hg 3.23
In 0.0591 0.6624 0.1630  3 Ga 3.04-3.17, 5 In 3.23-3.33, 1 Hg 3.23
In 0.0792 0.3314 0.3648  3 Ga 3.01-3.16, 4 In 3.28-3.33
In 0.8370 0.9409 0.3376  3 Ga 3.04-3.17, 5 In 3.23-3.33, 1 Hg 3.23
In 0.6624 0.1630 0.0591  3 Ga 3.04-3.17, 5 In 3.23-3.33, 1 Hg 3.23
In 0.1630 0.0591 0.6624  3 Ga 3.04-3.17, 5 In 3.23-3.33, 1 Hg 3.23
In 0.9208 0.6686 0.6352  3 Ga 3.01-3.16, 4 In 3.28-3.33
In 0.3314 0.3648 0.0792  3 Ga 3.01-3.16, 4 In 3.28-3.33
In 0.3648 0.0792 0.3314  3 Ga 3.01-3.16, 4 In 3.28-3.33
In 0.6686 0.6352 0.9208  3 Ga 3.01-3.16, 4 In 3.28-3.33
Ga 0.5308 0.2695 0.7191  2 Ga 2.74, 4 In 3.01-3.04
Ga 0.2695 0.7191 0.5308  2 Ga 2.74, 4 In 3.01-3.04
Ga 0.2809 0.4692 0.7305  2 Ga 2.74, 4 In 3.01-3.04
Ga 0.4692 0.7305 0.2809  2 Ga 2.74, 4 In 3.01-3.04
Ga 0.7305 0.2809 0.4692  2 Ga 2.74, 4 In 3.01-3.04
Ga 0.7191 0.5308 0.2695  2 Ga 2.74, 4 In 3.01-3.04
Hg 0.0000 0.0000 0.0000  12 In 3.23-3.47

Results
D(E_F): 7.6 states/eV per cell
spin magnetization: 0.0000 μB/atom
ρ: 6.9 g/cm3
V: 478.89 Å³/cell

---

(x)
Density functional theory data (PBE) for a relaxed In12Ga6Hg crystal.

Lattice parameters (Å, degrees): 8.2112 8.2112 8.2112 98.45 98.45 98.45
Closest atoms and distances in Å follow each position.
Fractional positions:
Ga 0.5862 0.2922 0.1430  7 In 2.80-3.04
Ga 0.8570 0.4138 0.7078  7 In 2.80-3.04
Ga 0.4138 0.7078 0.8570  7 In 2.80-3.04
Ga 0.2922 0.1430 0.5862  7 In 2.80-3.04
Ga 0.7078 0.8570 0.4138  7 In 2.80-3.04
Ga 0.1430 0.5862 0.2922  7 In 2.80-3.04
Hg 0.0000 0.0000 0.0000  6 In 2.92
In 0.0593 0.9127 0.3336  3 Ga 2.85-3.04, 1 Hg 2.92
In 0.5902 0.1820 0.4498  4 Ga 2.80-3.02
In 0.6664 0.9407 0.0873  3 Ga 2.85-3.04, 1 Hg 2.92
In 0.4498 0.5902 0.1820  4 Ga 2.80-3.02
In 0.1820 0.4498 0.5902  4 Ga 2.80-3.02
In 0.3336 0.0593 0.9127  3 Ga 2.85-3.04, 1 Hg 2.92
In 0.4098 0.8180 0.5502  4 Ga 2.80-3.02
In 0.0873 0.6664 0.9407  3 Ga 2.85-3.04, 1 Hg 2.92
In 0.9127 0.3336 0.0593  3 Ga 2.85-3.04, 1 Hg 2.92
In 0.5502 0.4098 0.8180  4 Ga 2.80-3.02
In 0.8180 0.5502 0.4098  4 Ga 2.80-3.02
In 0.9407 0.0873 0.6664  3 Ga 2.85-3.04, 1 Hg 2.92

Results
D(E_F): 6.6 states/eV per cell
spin magnetization: 0.0000 μB/atom
ρ: 6.2 g/cm3
V: 533.61 Å³/cell

---

Most stable: (w). Least stable: (x).

---

(w)
Density functional theory data (PBE) for a relaxed In2GaHg3 crystal.

Lattice parameters (Å, degrees): 6.8587 6.3788 7.9430 90.00 115.58 90.00
Closest atoms and distances in Å follow each position.
Fractional positions:
Ga 0.2842 0.7500 0.0000  3 Hg 2.83-2.89, 4 In 3.12
Ga 0.7158 0.2500 0.0000  3 Hg 2.83-2.89, 4 In 3.12
Hg 0.3739 0.2500 0.6251  1 Ga 2.89, 2 In 3.11, 1 Hg 3.21
Hg 0.3038 0.2500 0.0000  1 Ga 2.83
Hg 0.6261 0.7500 0.3749  1 Ga 2.89, 2 In 3.11, 1 Hg 3.21
Hg 0.6962 0.7500 0.0000  1 Ga 2.83
Hg 0.2512 0.7500 0.6251  1 Ga 2.89, 2 In 3.11, 1 Hg 3.21
Hg 0.7488 0.2500 0.3749  1 Ga 2.89, 2 In 3.11, 1 Hg 3.21
In 0.1283 0.0000 0.2566  4 Hg 3.11-3.20, 2 Ga 3.12, 2 In 3.19
In 0.8717 0.5000 0.7434  4 Hg 3.11-3.20, 2 Ga 3.12, 2 In 3.19
In 0.1283 0.5000 0.2566  4 Hg 3.11-3.20, 2 Ga 3.12, 2 In 3.19
In 0.8717 0.0000 0.7434  4 Hg 3.11-3.20, 2 Ga 3.12, 2 In 3.19

Results
D(E_F): 4.1 states/eV per cell
spin magnetization: 0.0000 μB/atom
ρ: 9.5 g/cm3
V: 313.45 Å³/cell

---

(x)
Density functional theory data (PBE) for a relaxed In2GaHg3 crystal.

Lattice parameters (Å, degrees): 7.8196 7.4169 7.4169 133.79 90.00 90.00
Closest atoms and distances in Å follow each position.
Fractional positions:
In 0.7191 0.2728 0.6179  6 Hg 3.07-3.27
In 0.2191 0.7272 0.3821  6 Hg 3.07-3.27
In 0.7191 0.6179 0.2728  6 Hg 3.07-3.27
In 0.2191 0.3821 0.7272  6 Hg 3.07-3.27
Hg 0.4698 0.1486 0.8430  2 Ga 2.91, 3 In 3.09-3.24
Hg 0.9698 0.8514 0.1570  2 Ga 2.91, 3 In 3.09-3.24
Hg 0.9698 0.1570 0.8514  2 Ga 2.91, 3 In 3.09-3.24
Hg 0.9693 0.5035 0.5035  2 Ga 3.06-3.10, 4 In 3.07-3.08
Hg 0.4693 0.4965 0.4965  2 Ga 3.06-3.10, 4 In 3.07-3.08
Hg 0.4698 0.8430 0.1486  2 Ga 2.91, 3 In 3.09-3.24
Ga 0.7207 0.9093 0.9093  6 Hg 2.91-3.10
Ga 0.2207 0.0907 0.0907  6 Hg 2.91-3.10

Results
D(E_F): 4.3 states/eV per cell
spin magnetization: 0.0000 μB/atom
ρ: 9.6 g/cm3
V: 310.55 Å³/cell

---

Most stable: (x). Least stable: (w).

---

(w)
Density functional theory data (PBE) for a relaxed In3Ga4Hg2 crystal.

Lattice parameters (Å, degrees): 4.0516 4.0516 16.7598 90.00 90.00 120.00
Closest atoms and distances in Å follow each position.
Fractional positions:
Ga 0.0000 0.0000 0.2534  3 Hg 2.90, 3 In 2.98
Ga 0.3334 0.6666 0.5469  3 Ga 2.68, 3 In 2.91
Ga 0.3334 0.6666 0.7494  1 Hg 2.67, 3 In 2.87
Ga 0.0000 0.0000 0.4694  3 Ga 2.68, 3 In 2.94
In 0.0001 0.9999 0.6502  7 Ga 2.87-3.03
In 0.3334 0.6666 0.3633  7 Ga 2.94-3.08
In 0.9999 0.0001 0.0305  6 Hg 3.09-3.11
Hg 0.3332 0.6668 0.9085  1 Ga 2.67
Hg 0.3333 0.6667 0.1513  3 Ga 2.90, 3 In 3.09

Results
D(E_F): 2.9 states/eV per cell
spin magnetization: 0.0000 μB/atom
ρ: 7.1 g/cm3
V: 238.26 Å³/cell

---

(x)
Density functional theory data (PBE) for a relaxed In3Ga4Hg2 crystal.

Lattice parameters (Å, degrees): 5.3716 5.2378 9.1189 69.14 68.18 66.02
Closest atoms and distances in Å follow each position.
Fractional positions:
Ga 0.7155 0.6272 0.9547  2 Ga 2.74-2.85, 3 In 2.95-3.05
Ga 0.0529 0.4516 0.3549  2 Ga 2.68-2.74, 1 Hg 2.88, 1 In 3.00
Ga 0.2845 0.3728 0.0453  2 Ga 2.74-2.85, 3 In 2.95-3.05
Ga 0.9471 0.5484 0.6451  2 Ga 2.68-2.74, 1 Hg 2.88, 1 In 3.00
In 0.0000 0.0000 0.0000  4 Ga 2.95-3.13, 2 Hg 3.20
In 0.5578 0.2134 0.7195  4 Ga 3.00-3.23, 4 Hg 3.16-3.34
In 0.4422 0.7866 0.2805  4 Ga 3.00-3.23, 4 Hg 3.16-3.34
Hg 0.2567 0.8881 0.6419  2 Ga 2.88-3.18, 3 In 3.16-3.20, 1 Hg 3.19
Hg 0.7433 0.1119 0.3581  2 Ga 2.88-3.18, 3 In 3.16-3.20, 1 Hg 3.19

Results
D(E_F): 2.7 states/eV per cell
spin magnetization: 0.0000 μB/atom
ρ: 8.1 g/cm3
V: 211.17 Å³/cell

---

Most stable: (x). Least stable: (w).

---

(w)
Density functional theory data (PBE) for a relaxed In2GaHg6 crystal.

Lattice parameters (Å, degrees): 3.2983 7.8479 9.6129 89.85 80.12 77.87
Closest atoms and distances in Å follow each position.
Fractional positions:
Hg 0.2525 0.6586 0.8364  1 Ga 3.00, 6 Hg 3.10-3.30, 2 In 3.30
Hg 0.4071 0.6928 0.4929  4 Hg 2.97-3.30, 3 In 3.11-3.30
Hg 0.5929 0.3072 0.5071  4 Hg 2.97-3.30, 3 In 3.11-3.30
Hg 0.0721 0.6830 0.1728  1 Ga 2.98, 5 Hg 3.10-3.30, 2 In 3.29
Hg 0.9279 0.3170 0.8272  1 Ga 2.98, 5 Hg 3.10-3.30, 2 In 3.29
Hg 0.7475 0.3414 0.1636  1 Ga 3.00, 6 Hg 3.10-3.30, 2 In 3.30
In 0.6636 0.9804 0.6924  7 Hg 3.11-3.30, 2 In 3.30, 2 Ga 3.35
In 0.3364 0.0196 0.3076  7 Hg 3.11-3.30, 2 In 3.30, 2 Ga 3.35
Ga 0.0000 0.0000 0.0000  4 Hg 2.98-3.00, 2 Ga 3.30

Results
D(E_F): 3.5 states/eV per cell
spin magnetization: 0.0000 μB/atom
ρ: 10.4 g/cm3
V: 239.52 Å³/cell

---

(x)
Density functional theory data (PBE) for a relaxed In2GaHg6 crystal.

Lattice parameters (Å, degrees): 7.8116 6.1036 10.0534 97.40 90.00 90.00
Closest atoms and distances in Å follow each position.
Fractional positions:
In 0.5740 0.0449 0.1631  6 Hg 3.04-3.18
In 0.4260 0.9551 0.8369  6 Hg 3.04-3.18
In 0.0740 0.4551 0.3369  6 Hg 3.04-3.18
In 0.9260 0.5449 0.6631  6 Hg 3.04-3.18
Hg 0.2129 0.1704 0.0893  3 In 3.04-3.17, 5 Hg 3.17-3.39, 1 Ga 3.22
Hg 0.6581 0.8618 0.5482  1 Ga 2.86, 1 In 3.17, 1 Hg 3.17
Hg 0.2871 0.6704 0.5893  3 In 3.04-3.17, 5 Hg 3.17-3.39, 1 Ga 3.22
Hg 0.1581 0.6382 0.9518  1 Ga 2.86, 1 In 3.17, 1 Hg 3.17
Hg 0.8419 0.3618 0.0482  1 Ga 2.86, 1 In 3.17, 1 Hg 3.17
Hg 0.7871 0.8296 0.9107  3 In 3.04-3.17, 5 Hg 3.17-3.39, 1 Ga 3.22
Hg 0.5539 0.3637 0.7167  1 Ga 2.89, 2 In 3.08-3.18, 1 Hg 3.18
Hg 0.7129 0.3296 0.4107  3 In 3.04-3.17, 5 Hg 3.17-3.39, 1 Ga 3.22
Hg 0.3419 0.1382 0.4518  1 Ga 2.86, 1 In 3.17, 1 Hg 3.17
Hg 0.4461 0.6363 0.2833  1 Ga 2.89, 2 In 3.08-3.18, 1 Hg 3.18
Hg 0.9461 0.8637 0.2167  1 Ga 2.89, 2 In 3.08-3.18, 1 Hg 3.18
Hg 0.0539 0.1363 0.7833  1 Ga 2.89, 2 In 3.08-3.18, 1 Hg 3.18
Ga 0.5000 0.5000 0.0000  4 Hg 2.86-2.89
Ga 0.0000 0.0000 0.5000  4 Hg 2.86-2.89

Results
D(E_F): 7.0 states/eV per cell
spin magnetization: 0.0000 μB/atom
ρ: 10.5 g/cm3
V: 475.34 Å³/cell

---

Most stable: (x). Least stable: (w).